Record 1
First-principles (PBE) data for a relaxed Rb4Ac3GeO8 crystal, as listed in Alexandria via LeMat-Bulk.

The density comes out at 6.06 g cm⁻³. The energy relative to the elements, uncorrected comes out at -2.11 eV per atom.

The structure belongs to space group C2/m (No. 12); the cell edges are 13.538, 7.368 and 7.822 Å and the angles 90.00°, 120.70° and 90.00°. The distinct sites, in fractional coordinates, are Rb at (0.000, 0.000, 0.000), Rb at (0.000, 0.500, 0.000), Rb at (0.250, 0.250, 0.000), Ac at (0.000, 0.000, 0.500), Ac at (0.250, 0.250, 0.500), Ge at (0.000, 0.500, 0.500), O at (0.025, 0.295, 0.345), O at (0.215, 0.000, 0.684) and O at (0.227, 0.000, 0.273).



Record 2
First-principles (PBE) data for a relaxed PRhC2 crystal, as listed in Alexandria via LeMat-Bulk.

The density comes out at 5.61 g cm⁻³. For the formation energy, the calculation gives 0.300 eV per atom.

The structure belongs to space group Pm (No. 6); the cell edges are 3.387, 2.589 and 5.345 Å and the angles 90.00°, 93.56° and 90.00°. The distinct sites, in fractional coordinates, are P at (0.000, 0.000, 0.000), Rh at (0.513, 0.500, 0.199), C at (0.844, 0.500, 0.545) and C at (0.895, 0.000, 0.663).



Record 3
First-principles (PBE) data for a relaxed SrTa2Ru2 crystal, as listed in Alexandria via LeMat-Bulk.

The density comes out at 11.22 g cm⁻³. For the formation energy, the calculation gives 0.116 eV per atom.

The structure belongs to space group P4/mbm (No. 127); the cell edges are 8.022, 8.022 and 2.996 Å and the angles 90.00°, 90.00° and 90.00°. The distinct sites, in fractional coordinates, are Sr at (0.000, 0.000, 0.000), Ta at (0.141, 0.359, 0.500) and Ru at (0.142, 0.642, 0.000).



Record 4
First-principles (PBE) data for a relaxed ZrBeTc crystal, as listed in Alexandria via LeMat-Bulk.

The density comes out at 7.25 g cm⁻³. For the formation energy, the calculation gives 0.081 eV per atom.

The structure belongs to space group Fmm2 (No. 42); the cell edges are 3.532, 4.540 and 11.330 Å and the angles 90.00°, 90.00° and 90.00°. The distinct sites, in fractional coordinates, are Zr at (0.000, 0.000, 0.000), Be at (0.000, 0.000, 0.322) and Tc at (0.000, 0.000, 0.693).



Record 5
First-principles (PBE) data for a relaxed NbInOF2 crystal, as listed in Alexandria via LeMat-Bulk.

The density comes out at 5.21 g cm⁻³. The energy relative to the elements, uncorrected comes out at -0.83 eV per atom.

The structure belongs to space group P4/mmm (No. 123); the cell edges are 4.461, 4.461 and 4.194 Å and the angles 90.00°, 90.00° and 90.00°. The distinct sites, in fractional coordinates, are Nb at (0.000, 0.000, 0.000), In at (0.500, 0.500, 0.500), O at (0.500, 0.500, 0.000) and F at (0.000, 0.500, 0.500).



Record 6
First-principles (PBE) data for a relaxed BaTeP2 crystal, as listed in Alexandria via LeMat-Bulk.

The density comes out at 4.66 g cm⁻³. The energy relative to the elements, uncorrected comes out at -0.15 eV per atom.

The structure belongs to space group Cmmm (No. 65); the cell edges are 5.065, 7.063 and 6.513 Å and the angles 90.00°, 90.00° and 90.00°. The distinct sites, in fractional coordinates, are Ba at (0.000, 0.000, 0.000), Te at (0.000, 0.000, 0.500) and P at (0.000, 0.500, 0.329).